The following is a DFT calculation (GGA-PBE) of a relaxed structure of Y3CoPb.

Summary:
energy relative to the elements = 0.597 eV/atom
ΔE to the lowest computed polymorph = 946 meV/atom
M_tot = 0.3 μB per formula unit

```
data_Y3CoPb
_chemical_formula_sum 'Y6 Co2 Pb2'
_space_group_name_H-M_alt 'P 1'
_space_group_IT_number 1
_cell_length_a 5.9386
_cell_length_b 5.9386
_cell_length_c 11.6356
_cell_angle_alpha 75.22
_cell_angle_beta 75.22
_cell_angle_gamma 90.00
loop_
_space_group_symop_operation_xyz
'x,y,z'
loop_
_atom_site_label
_atom_site_fract_x
_atom_site_fract_y
_atom_site_fract_z
Co1 0.8001 0.3001 0.3997
Co2 0.6999 0.1999 0.6003
Y1 0.1259 0.8834 0.7483
Y2 0.2758 0.2758 0.4484
Y3 0.1166 0.8741 0.2517
Y4 0.7242 0.7242 0.5516
Y5 0.6317 0.8741 0.2517
Y6 0.1259 0.3683 0.7483
Pb1 0.0000 0.0000 0.0000
Pb2 0.2500 0.7500 0.5000
```